La3InRu: relaxed, PBE.

Unit cell a=5.4800 b=5.4800 c=5.4800 alpha=90.00 beta=90.00 gamma=90.00
Element x y z (fractional)
La: 0.0000 0.0000 0.5000
La: 0.0000 0.5000 0.0000
La: 0.5000 0.0000 0.0000
In: 0.5000 0.5000 0.5000
Ru: 0.0000 0.0000 0.0000

distance to the lowest polymorph of the same formula = 88 meV per atom
space group = No. 221
density of states at the Fermi level = 5.56 states/eV per cell
ρ = 6.383 g/cm³
final energy = -5.69 eV/atom
DFT formation energy = -159 kJ/mol of formula units

=====

MgFeIr2C: relaxed, PBE.

Unit cell a=4.0876 b=4.0876 c=3.9116 alpha=90.00 beta=90.00 gamma=90.00
Element x y z (fractional)
Mg: 0.0000 0.0000 0.0000
Fe: 0.5000 0.5000 0.0000
Ir: 0.0000 0.5000 0.5000
Ir: 0.5000 0.0000 0.5000
C: 0.5000 0.5000 0.5000

space group = No. 123
density of states at the Fermi level = 2.56 states/eV per cell
ρ = 12.109 g/cm³
final energy = -7.43 eV/atom
DFT formation energy = -13 kJ/mol of formula units

=====

AlIrWC2: relaxed, PBE.

Unit cell a=3.7850 b=3.7850 c=4.9436 alpha=90.00 beta=90.00 gamma=90.00
Element x y z (fractional)
Al: 0.0000 0.0000 0.0000
Ir: 0.0000 0.0000 0.5000
W: 0.5000 0.5000 0.5000
C: 0.0000 0.5000 0.0000
C: 0.5000 0.0000 0.0000

space group = No. 123
density of states at the Fermi level = 4.49 states/eV per cell
ρ = 10.013 g/cm³
final energy = -6.65 eV/atom
DFT formation energy = 1038 kJ/mol of formula units

=====

Tb3Er5As8: relaxed, PBE.

Unit cell a=8.2052 b=8.2052 c=8.2052 alpha=60.00 beta=60.00 gamma=60.00
Element x y z (fractional)
Tb: 0.0000 0.5000 0.5000
Tb: 0.5000 0.0000 0.5000
Tb: 0.5000 0.5000 0.0000
Er: 0.0000 0.0000 0.0000
Er: 0.0000 0.0000 0.5000
Er: 0.0000 0.5000 0.0000
Er: 0.5000 0.0000 0.0000
Er: 0.5000 0.5000 0.5000
As: 0.2475 0.7500 0.7500
As: 0.2488 0.2488 0.2488
As: 0.2500 0.2500 0.7525
As: 0.2500 0.7525 0.2500
As: 0.7500 0.2475 0.7500
As: 0.7500 0.7500 0.2475
As: 0.7512 0.7512 0.7512
As: 0.7525 0.2500 0.2500

space group = No. 166
density of states at the Fermi level = 2.79 states/eV per cell
ρ = 8.130 g/cm³
final energy = -6.15 eV/atom
DFT formation energy = -2357 kJ/mol of formula units

=====

Ce3ZnS6: relaxed, PBE.

Unit cell a=8.6769 b=8.6769 c=6.5955 alpha=90.00 beta=90.00 gamma=102.25
Element x y z (fractional)
Ce: 0.1068 0.8932 0.5000
Ce: 0.2157 0.4212 0.5795
Ce: 0.4212 0.2157 0.0795
Ce: 0.5788 0.7843 0.5795
Ce: 0.7843 0.5788 0.0795
Ce: 0.8932 0.1068 0.0000
Zn: 0.3029 0.6971 0.1211
Zn: 0.6971 0.3029 0.6211
S: 0.0660 0.5989 0.3008
S: 0.1364 0.1855 0.2896
S: 0.1855 0.1364 0.7896
S: 0.2794 0.7206 0.7693
S: 0.4011 0.9340 0.3008
S: 0.4636 0.5364 0.2712
S: 0.5364 0.4636 0.7712
S: 0.5989 0.0660 0.8008
S: 0.7206 0.2794 0.2693
S: 0.8145 0.8636 0.2896
S: 0.8636 0.8145 0.7896
S: 0.9340 0.4011 0.8008

space group = No. 36
density of states at the Fermi level = 33.51 states/eV per cell
uncorrected formation energy = -1.709 eV/atom
ρ = 4.641 g/cm³
final energy = -6.09 eV/atom

=====

LiMnCo2: relaxed, PBE.

Unit cell a=2.4587 b=4.0415 c=4.7160 alpha=90.00 beta=99.19 gamma=90.00
Element x y z (fractional)
Li: 0.0000 0.0000 0.0000
Mn: 0.5000 0.0000 0.5000
Co: 0.2389 0.5000 0.7502
Co: 0.7611 0.5000 0.2498

distance to the lowest polymorph of the same formula = 34 meV per atom
space group = No. 10
density of states at the Fermi level = 3.41 states/eV per cell
ρ = 6.452 g/cm³
final energy = -6.14 eV/atom
DFT formation energy = 70 kJ/mol of formula units

=====

What did the third record say?
AlIrWC2: relaxed, PBE.

Unit cell a=3.7850 b=3.7850 c=4.9436 alpha=90.00 beta=90.00 gamma=90.00
Element x y z (fractional)
Al: 0.0000 0.0000 0.0000
Ir: 0.0000 0.0000 0.5000
W: 0.5000 0.5000 0.5000
C: 0.0000 0.5000 0.0000
C: 0.5000 0.0000 0.0000

space group = No. 123
density of states at the Fermi level = 4.49 states/eV per cell
ρ = 10.013 g/cm³
final energy = -6.65 eV/atom
DFT formation energy = 1038 kJ/mol of formula units

=====

Q: Which of these has the lowest final energy?
A: MgFeIr2C

=====

What did the second record say?
MgFeIr2C: relaxed, PBE.

Unit cell a=4.0876 b=4.0876 c=3.9116 alpha=90.00 beta=90.00 gamma=90.00
Element x y z (fractional)
Mg: 0.0000 0.0000 0.0000
Fe: 0.5000 0.5000 0.0000
Ir: 0.0000 0.5000 0.5000
Ir: 0.5000 0.0000 0.5000
C: 0.5000 0.5000 0.5000

space group = No. 123
density of states at the Fermi level = 2.56 states/eV per cell
ρ = 12.109 g/cm³
final energy = -7.43 eV/atom
DFT formation energy = -13 kJ/mol of formula units